Entry 1:
The following is a PBE-GGA calculation of a relaxed Cs2AgSb crystal, from Alexandria via LeMat-Bulk.

Results
Its uncorrected formation energy is -1.3 eV per formula unit. As for the space group: C2 (5). Its crystal system is monoclinic.

extended XYZ file:
```
4
Lattice="-0.139 2.075 -4.692 0.736 -4.901 -5.012 -5.468 -2.421 -3.731" Properties=species:S:1:pos:R:3 pbc="T T T"
Cs 0.444 -4.082 -4.641
Cs -3.302 -2.981 -6.849
Ag -2.638 0.266 -5.426
Sb -1.811 -1.075 -3.236
```

---

Entry 2:
The following is a PBE-GGA calculation of a relaxed CsAg3Sb2 crystal, from Alexandria via LeMat-Bulk.

Results
Its uncorrected formation energy is -0.4 eV per formula unit. As for the space group: C2/m (12). Its crystal system is monoclinic.

extended XYZ file:
```
12
Lattice="-2.172 -3.746 -1.750 -1.222 -6.090 8.319 -8.534 -0.705 5.867" Properties=species:S:1:pos:R:3 pbc="T T T"
Cs -3.447 -4.255 0.920
Cs -8.481 -6.287 11.515
Ag -7.901 -4.793 7.600
Ag -8.201 -6.297 4.959
Ag -6.236 -4.125 4.105
Ag -5.692 -6.416 8.331
Ag -3.727 -4.244 7.476
Ag -4.027 -5.748 4.835
Sb -8.543 -3.373 5.358
Sb -3.385 -7.168 7.078
Sb -8.188 -7.602 7.737
Sb -3.740 -2.939 4.699
```

---

Entry 3:
The following is a PBE-GGA calculation of a relaxed CsAg4Sb3 crystal, from Alexandria via LeMat-Bulk.

Results
Its uncorrected formation energy is -0.4 eV per formula unit. As for the space group: P4/mmm (123). Its crystal system is tetragonal.

extended XYZ file:
```
8
Lattice="4.993 0.000 0.000 0.000 4.993 0.000 0.000 0.000 8.813" Properties=species:S:1:pos:R:3 pbc="T T T"
Cs 0.000 0.000 4.407
Sb 0.000 0.000 0.000
Sb 2.496 2.496 2.935
Sb 2.496 2.496 5.879
Ag 2.496 0.000 1.511
Ag 0.000 2.496 1.511
Ag 2.496 0.000 7.302
Ag 0.000 2.496 7.302
```

---

Entry 4:
The following is a PBE-GGA calculation of a relaxed Cs2AgSb crystal, from Alexandria via LeMat-Bulk.

Results
Its uncorrected formation energy is 0.5 eV per formula unit. As for the space group: Fm-3m (225). Its crystal system is cubic.

extended XYZ file:
```
4
Lattice="6.400 0.000 0.000 3.200 5.542 0.000 3.200 1.847 5.225" Properties=species:S:1:pos:R:3 pbc="T T T"
Cs 3.200 1.847 1.306
Cs 9.600 5.542 3.919
Sb 6.400 3.695 2.613
Ag 0.000 0.000 0.000
```

---

Entry 5:
The following is a PBE-GGA calculation of a relaxed CsAgSb crystal, from Alexandria via LeMat-Bulk.

Results
Its uncorrected formation energy is -0.6 eV per formula unit. As for the space group: I4/mmm (139). Its crystal system is tetragonal.

extended XYZ file:
```
6
Lattice="4.559 0.000 -1.192 -0.312 4.548 -1.192 0.332 0.356 10.586" Properties=species:S:1:pos:R:3 pbc="T T T"
Cs 2.939 3.147 1.927
Cs 1.641 1.757 6.276
Ag -0.156 2.274 -0.596
Ag 2.280 0.000 -0.596
Sb 0.410 0.439 1.567
Sb 4.170 4.466 6.636
```

---

Entry 6:
The following is a PBE-GGA calculation of a relaxed Cs2AgSb crystal, from Alexandria via LeMat-Bulk.

Results
Its uncorrected formation energy is -0.8 eV per formula unit. As for the space group: I-42d (122). Its crystal system is tetragonal.

extended XYZ file:
```
8
Lattice="-10.928 4.049 -7.352 5.405 -5.838 -11.250 -3.980 -3.136 -8.724" Properties=species:S:1:pos:R:3 pbc="T T T"
Cs -5.093 0.255 -6.799
Cs -1.039 -3.165 -11.514
Cs -4.039 -4.122 -15.635
Cs -8.835 -2.819 -20.703
Sb 0.000 0.000 0.000
Sb -8.835 0.009 -12.688
Ag -2.761 -0.895 -9.301
Ag -0.668 -4.935 -14.637
```

---

Entry 7:
The following is a PBE-GGA calculation of a relaxed CsAg3Sb3 crystal, from Alexandria via LeMat-Bulk.

Results
Its uncorrected formation energy is 0.2 eV per formula unit. As for the space group: Pm-3n (223). Its crystal system is cubic.

extended XYZ file:
```
14
Lattice="-4.226 -6.377 1.280 3.938 -1.294 6.556 -5.177 4.222 3.943" Properties=species:S:1:pos:R:3 pbc="T T T"
Cs -2.732 -1.725 5.890
Cs 0.000 0.000 0.000
Sb -1.604 1.787 3.611
Sb 0.366 1.140 6.889
Sb -5.996 -0.022 3.597
Sb -1.200 -5.430 4.238
Sb -3.407 -2.133 1.626
Sb 0.913 -2.241 3.598
Ag -3.645 0.517 2.292
Ag 0.675 0.408 4.264
Ag 0.841 -4.159 5.557
Ag -5.758 -2.672 2.932
Ag -1.913 2.519 6.235
Ag -1.128 -3.512 2.279
```

---

Entry 8:
The following is a PBE-GGA calculation of a relaxed Cs12Ag5Sb3 crystal, from Alexandria via LeMat-Bulk.

Results
Its uncorrected formation energy is -1.0 eV per formula unit. As for the space group: Ia-3d (230). Its crystal system is cubic.

extended XYZ file:
```
80
Lattice="19.129 0.000 0.000 -6.376 18.035 0.000 -6.376 -9.017 15.619" Properties=species:S:1:pos:R:3 pbc="T T T"
Sb 11.158 5.636 1.952
Sb 11.158 12.399 1.952
Sb -1.594 7.890 9.762
Sb 1.594 -1.127 5.857
Sb 14.347 0.000 3.905
Sb 1.594 9.017 3.905
Sb 4.782 0.000 11.714
Sb -7.970 9.017 11.714
Sb 4.782 10.145 9.762
Sb 7.970 1.127 5.857
Sb -4.782 -3.382 13.666
Sb -4.782 3.382 13.666
Ag -1.594 4.509 3.905
Ag -3.188 9.017 0.000
Ag 0.000 0.000 0.000
Ag 4.782 3.382 1.952
Ag 6.376 -4.509 7.809
Ag 6.376 9.017 0.000
Ag -4.782 10.145 5.857
Ag 7.970 -5.636 13.666
Ag 7.970 7.890 5.857
Ag 1.594 -4.509 11.714
Ag 4.782 13.526 3.905
Ag 3.188 4.509 7.809
Ag 9.564 0.000 0.000
Ag -3.188 -4.509 7.809
Ag -1.594 1.127 9.762
Ag -1.594 14.653 1.952
Ag -6.376 4.509 7.809
Ag 11.158 -1.127 9.762
Ag 1.594 5.636 13.666
Ag 7.970 4.509 11.714
Cs 12.644 2.026 0.864
Cs 0.108 6.269 6.487
Cs 14.029 4.023 4.278
Cs 8.288 2.815 2.186
Cs 2.305 7.046 10.477
Cs 13.254 9.004 2.668
Cs -1.276 10.225 6.464
Cs -5.100 15.219 2.186
Cs 0.883 10.989 10.477
Cs 9.063 9.030 2.668
Cs 9.673 4.774 5.623
Cs 9.673 16.009 0.864
Cs -5.493 8.088 8.673
Cs 3.690 6.714 1.345
Cs -6.485 13.261 5.623
Cs 3.296 -2.748 9.132
Cs -0.883 1.042 3.531
Cs 3.690 11.334 1.322
Cs 8.288 14.012 4.278
Cs -0.502 6.701 1.322
Cs -4.071 10.059 12.087
Cs 4.464 7.810 6.464
Cs 8.681 9.947 8.673
Cs 6.878 -2.304 14.273
Cs 1.912 1.208 9.154
Cs -2.305 -0.930 6.946
Cs -0.502 11.321 1.345
Cs -1.912 -4.994 11.340
Cs 10.448 -1.042 3.531
Cs 6.878 2.317 14.296
Cs 2.687 -2.317 14.296
Cs 3.080 11.765 6.487
Cs 7.259 7.976 12.087
Cs 12.861 -4.244 9.995
Cs 11.869 0.930 6.946
Cs -3.296 -6.992 14.755
Cs 2.687 2.304 14.273
Cs 5.493 -1.971 5.142
Cs -2.687 -0.013 12.951
Cs -3.296 4.244 9.995
Cs 11.476 -6.202 13.433
Cs 7.653 -1.208 9.154
Cs -1.912 6.202 13.433
Cs -6.878 0.013 12.951
Cs 4.071 1.971 5.142
Cs -7.653 4.994 11.340
Cs 6.268 2.748 9.132
Cs -6.268 6.992 14.755
```